DFT (PBE) results for a relaxed structure of BeRe3Si.

Properties
symmetry = No. 221
E above lowest polymorph = 0.000 eV/atom
energy = -8.404 eV/atom
uncorrected formation energy = 0.89 eV/atom

```
data_BeRe3Si
_chemical_formula_sum 'Be1 Re3 Si1'
_space_group_name_H-M_alt 'P 1'
_space_group_IT_number 1
_cell_length_a 4.1259
_cell_length_b 4.1259
_cell_length_c 4.1259
_cell_angle_alpha 90.00
_cell_angle_beta 90.00
_cell_angle_gamma 90.00
loop_
_space_group_symop_operation_xyz
'x,y,z'
loop_
_atom_site_label
_atom_site_type_symbol
_atom_site_fract_x
_atom_site_fract_y
_atom_site_fract_z
_atom_site_occupancy
Be1 Be 0.0000 0.0000 0.0000 1
Re1 Re 0.0000 0.0000 0.5000 1
Re2 Re 0.0000 0.5000 0.0000 1
Re3 Re 0.5000 0.0000 0.0000 1
Si1 Si 0.5000 0.5000 0.5000 1
```